(a)
Here is an optimized crystal structure of Zr2CrRh from the Alexandria database. Energies are from PBE-GGA.

extended XYZ file:
```
8
Lattice="4.1663 0.0000 0.0000 0.0000 4.1663 0.0000 2.0831 2.0831 9.2420" Properties=species:S:1:pos:R:3 pbc="T T T"
Cr 2.0831 2.0831 0.0000
Cr 2.0831 4.1663 4.6210
Rh 0.0000 0.0000 0.0000
Rh 4.1663 2.0831 4.6210
Zr 3.1426 1.0416 2.3105
Zr 1.0237 3.1247 2.3105
Zr 3.1247 3.1068 6.9315
Zr 5.2078 5.2257 6.9315
```

Results
The calculation puts the density at 6984 kg/m³.

(b)
Here is an optimized crystal structure of Zr2CrRh from the Alexandria database. Energies are from PBE-GGA.

extended XYZ file:
```
4
Lattice="4.5725 0.0000 0.0000 2.2862 3.9599 0.0000 2.2862 1.3200 3.7334" Properties=species:S:1:pos:R:3 pbc="T T T"
Cr 4.5725 2.6399 1.8667
Rh 6.8587 3.9599 2.8000
Zr 0.0000 0.0000 0.0000
Zr 2.2862 1.3200 0.9333
```

Results
The calculation puts the density at 8287 kg/m³.

(c)
Here is an optimized crystal structure of Zr2CrRh from the Alexandria database. Energies are from PBE-GGA.

extended XYZ file:
```
4
Lattice="-1.6113 4.8263 -2.2994 -5.4057 1.0499 -0.9237 3.8019 -1.3555 3.8581" Properties=species:S:1:pos:R:3 pbc="T T T"
Cr -3.4698 2.9057 -1.5938
Rh -2.5595 1.3190 0.6599
Zr -0.0610 0.0511 -0.0280
Zr -0.6333 3.1830 -0.0146
```

Results
The calculation puts the density at 7832 kg/m³.

Which structure is most stable? (c), by 0.179 eV/atom over the runner-up.

(a)
Here is an optimized crystal structure of Zr2CrRh from the Alexandria database. Energies are from PBE-GGA.

extended XYZ file:
```
4
Lattice="3.0194 0.0156 0.0000 -0.0117 3.0194 0.0000 0.0000 0.0000 7.9193" Properties=species:S:1:pos:R:3 pbc="T T T"
Cr 0.0000 0.0000 4.2419
Rh 1.5038 1.5175 5.5964
Zr 0.0000 0.0000 7.6646
Zr 1.5038 1.5175 2.2954
```

Results
The calculation puts the density at 7759 kg/m³.

(b)
Here is an optimized crystal structure of Zr2CrRh from the Alexandria database. Energies are from PBE-GGA.

extended XYZ file:
```
4
Lattice="3.2655 0.0061 0.0000 -0.0062 3.2655 0.0000 0.0000 0.0000 6.5687" Properties=species:S:1:pos:R:3 pbc="T T T"
Cr 1.6296 1.6358 1.6422
Rh 1.6296 1.6358 4.9265
Zr 0.0000 0.0000 0.0362
Zr 0.0000 0.0000 3.2481
```

Results
The calculation puts the density at 7998 kg/m³.

Which structure is most stable? (b), by 0.327 eV/atom over the runner-up.

(a)
Here is an optimized crystal structure of Zr2CrRh from the Alexandria database. Energies are from PBE-GGA.

extended XYZ file:
```
4
Lattice="4.4991 -0.0051 0.0073 3.4538 2.8833 0.0073 0.7729 0.2797 5.6227" Properties=species:S:1:pos:R:3 pbc="T T T"
Cr 6.5444 2.3684 4.2279
Rh 2.1815 0.7895 1.4093
Zr 0.7713 0.2791 5.5869
Zr 4.3646 1.5795 2.8543
```

Results
The calculation puts the density at 7672 kg/m³.

(b)
Here is an optimized crystal structure of Zr2CrRh from the Alexandria database. Energies are from PBE-GGA.

extended XYZ file:
```
4
Lattice="-0.8866 -0.1154 2.9864 4.1425 -0.2986 1.2183 0.3060 5.4789 0.3025" Properties=species:S:1:pos:R:3 pbc="T T T"
Cr 0.1396 2.4996 0.1380
Rh 1.8688 4.1052 2.3404
Zr 0.2923 5.2329 0.2889
Zr 1.7203 1.4457 2.1936
```

Results
The calculation puts the density at 7554 kg/m³.

Which structure is most stable? (b), by 0.088 eV/atom over the runner-up.